The following is a DFT calculation (GGA-PBE) of crystalline TaTePt at its relaxed geometry.

Cell: 4.6109 4.6109 3.1623 Å, 90.00 90.00 120.00°
Fractional coordinates of all 3 atoms:
1 Pt 0.0000 0.0000 0.9757
2 Ta 0.6667 0.3333 0.4041
3 Te 0.3333 0.6667 0.6201

Output
Total moment: 0.00 μB/f.u.
Raw total energy: -20.34 eV/f.u.
Space group: P3m1, No. 156
Energy relative to the elements, uncorrected: 0.2305 eV/atom